# CuAs2Pt

A relaxed CuAs2Pt crystal (GGA-PBE, the Alexandria database).

Results
The calculation puts the energy above the most stable polymorph in this dataset at 15 meV per atom. For the theoretical density, the calculation gives 9.4 g cm⁻³. The density of states at the Fermi level comes out at 1.65 states/eV/cell. The calculation puts the total energy at -4.90 eV/atom. As for the space-group type: Cm. The value obtained for the formation energy is -0.044 eV per atom.

Cell lengths 4.1638, 4.1638, 6.3134 Å; angles 67.43, 67.43, 46.84 degrees
Fractional coordinates of all 4 atoms:
Pt  0.2703  0.2703  0.2674
As  0.0389  0.0389  0.0730
As  0.7130  0.7130  0.6545
Cu  0.4778  0.4778  0.5052